Entry 1:
A relaxed structure of Pa2ZnIn, computed with PBE.

a b c (Å): 3.160 3.160 32.089
angles (deg): 90.00 90.00 120.00
Atoms (fractional coordinates):
Pa 0.000 0.000 0.245
Pa 0.000 0.000 0.755
Pa 0.333 0.667 0.421
Pa 0.333 0.667 0.912
Pa 0.667 0.333 0.088
Pa 0.667 0.333 0.579
Zn 0.000 0.000 0.500
Zn 0.333 0.667 0.167
Zn 0.667 0.333 0.833
In 0.000 0.000 0.000
In 0.333 0.667 0.667
In 0.667 0.333 0.333

Output
Energy relative to the elements   -0.01 eV per atom
Spin magnetization   0.00 μB/cell
Symmetry   No. 166

=====

Entry 2:
A relaxed structure of ZrPaIn2, computed with PBE.

a b c (Å): 3.219 3.219 32.141
angles (deg): 90.00 90.00 120.00
Atoms (fractional coordinates):
Zr 0.000 0.000 0.000
Zr 0.333 0.667 0.667
Zr 0.667 0.333 0.333
Pa 0.000 0.000 0.500
Pa 0.333 0.667 0.167
Pa 0.667 0.333 0.833
In 0.000 0.000 0.254
In 0.000 0.000 0.746
In 0.333 0.667 0.413
In 0.333 0.667 0.920
In 0.667 0.333 0.080
In 0.667 0.333 0.587

Output
Energy relative to the elements   -0.12 eV per atom
Spin magnetization   0.00 μB/cell
Symmetry   No. 166

=====

Entry 3:
A relaxed structure of ZrPa2In, computed with PBE.

a b c (Å): 4.378 4.378 5.018
angles (deg): 90.00 90.00 90.00
Atoms (fractional coordinates):
Zr 0.000 0.000 0.000
Pa 0.000 0.500 0.500
Pa 0.500 0.000 0.500
In 0.500 0.500 0.000

Output
Energy relative to the elements   -0.08 eV per atom
Spin magnetization   0.00 μB/cell
Symmetry   No. 123

=====

Entry 4:
A relaxed structure of Zr2PaIn, computed with PBE.

a b c (Å): 3.297 3.297 30.830
angles (deg): 90.00 90.00 120.00
Atoms (fractional coordinates):
Zr 0.000 0.000 0.249
Zr 0.000 0.000 0.751
Zr 0.333 0.667 0.418
Zr 0.333 0.667 0.915
Zr 0.667 0.333 0.085
Zr 0.667 0.333 0.582
Pa 0.000 0.000 0.000
Pa 0.333 0.667 0.667
Pa 0.667 0.333 0.333
In 0.000 0.000 0.500
In 0.333 0.667 0.167
In 0.667 0.333 0.833

Output
Energy relative to the elements   0.00 eV per atom
Spin magnetization   0.00 μB/cell
Symmetry   No. 166

=====

Entry 5:
A relaxed structure of Zr2PaIn3, computed with PBE.

a b c (Å): 3.143 3.143 13.965
angles (deg): 90.00 90.00 90.00
Atoms (fractional coordinates):
Zr 0.000 0.000 0.158
Zr 0.000 0.000 0.842
Pa 0.000 0.000 0.500
In 0.500 0.500 0.000
In 0.500 0.500 0.320
In 0.500 0.500 0.680

Output
Energy relative to the elements   -0.21 eV per atom
Spin magnetization   0.65 μB/cell
Symmetry   No. 123

=====

Entry 6:
A relaxed structure of ZrPaIn2, computed with PBE.

a b c (Å): 3.138 3.138 9.520
angles (deg): 90.00 90.00 90.00
Atoms (fractional coordinates):
Zr 0.000 0.000 0.000
Pa 0.000 0.000 0.500
In 0.500 0.500 0.236
In 0.500 0.500 0.764

Output
Energy relative to the elements   -0.16 eV per atom
Spin magnetization   0.73 μB/cell
Symmetry   No. 123

=====

Entry 7:
A relaxed structure of Zr2PaIn, computed with PBE.

a b c (Å): 4.786 4.786 4.023
angles (deg): 90.00 90.00 90.00
Atoms (fractional coordinates):
Zr 0.000 0.500 0.000
Zr 0.500 0.000 0.000
Pa 0.000 0.000 0.500
In 0.500 0.500 0.500

Output
Energy relative to the elements   -0.13 eV per atom
Spin magnetization   0.00 μB/cell
Symmetry   No. 123

=====

Entry 8:
A relaxed structure of Zr2PaIn, computed with PBE.

a b c (Å): 3.671 3.671 6.827
angles (deg): 90.00 90.00 90.00
Atoms (fractional coordinates):
Zr 0.000 0.000 0.242
Zr 0.000 0.000 0.758
Pa 0.500 0.500 0.000
In 0.500 0.500 0.500

Output
Energy relative to the elements   -0.09 eV per atom
Spin magnetization   0.00 μB/cell
Symmetry   No. 123